# 1
VASP calculation (PBE) on Pm2TmTh3S6 after structural relaxation.

Computed properties:
VASP energy (eV per cell): -83.78
SG: C2/m (12)
Size of the total moment (μB per cell): 0.0
ΔE_f (raw) (meV per atom): -1899
D(E_F) (states/eV/f.u.): 7.9

a = 3.9880 Å, b = 8.0538 Å, c = 9.0276 Å
α = 104.75°, β = 102.76°, γ = 90.00°
Element x y z (fractional)
S1 0.3394 0.9179 0.6788
S2 0.3320 0.4190 0.6640
S3 0.6680 0.5810 0.3360
S4 0.9994 0.2356 0.9988
S5 0.0006 0.7644 0.0012
S6 0.6606 0.0821 0.3212
Tm1 0.5000 0.0000 0.0000
Pm1 0.8338 0.6671 0.6677
Pm2 0.1662 0.3329 0.3323
Th1 0.5000 0.5000 0.0000
Th2 0.1686 0.8338 0.3372
Th3 0.8314 0.1662 0.6628

# 2
VASP calculation (PBE) on PmYTh2S4 after structural relaxation.

Computed properties:
VASP energy (eV per cell): -57.86
SG: P2/m (10)
Size of the total moment (μB per cell): 0.0
ΔE_f (raw) (meV per atom): -1913
D(E_F) (states/eV/f.u.): 4.6

a = 4.0041 Å, b = 6.8621 Å, c = 7.0255 Å
α = 109.25°, β = 90.00°, γ = 90.00°
Element x y z (fractional)
S1 0.5000 0.7579 0.7604
S2 0.5000 0.2421 0.2396
S3 0.0000 0.2474 0.7572
S4 0.0000 0.7526 0.2428
Th1 0.0000 0.5000 0.5000
Th2 0.5000 0.0000 0.5000
Y1 0.0000 0.0000 0.0000
Pm1 0.5000 0.5000 0.0000

- Look up the size of the total moment of the first one.
  0.0 μB per cell